Entry 1:
## ZnCuRe2 (PBE)

Data for a relaxed ZnCuRe2 crystal.

Calculated values
Its magnetization is 0.000 μB per atom. Its energy is -7.16 eV/atom. As for the space group: No. 65. The formation energy is 404 meV/atom. The excess energy over the best structure of this formula in the dataset is 1.38 eV per formula unit.

Cell and atoms, written as extended XYZ:
```
4
Lattice="4.906 -0.027 0.000 -2.162 4.404 0.000 0.000 0.000 2.634" Properties=species:S:1:pos:R:3 pbc="T T T"
Zn 2.453 -0.013 1.317
Re 1.372 2.189 0.000
Re 0.000 0.000 0.000
Cu -1.081 2.202 1.317
```

Entry 2:
## KNa2CdAg (PBE)

Data for a relaxed KNa2CdAg crystal.

Calculated values
Its magnetization is 0.000 μB per atom. Its energy is -1.42 eV/atom. As for the space group: No. 123. The formation energy is 82 meV/atom. The excess energy over the best structure of this formula in the dataset is 0.38 eV per formula unit.

Cell and atoms, written as extended XYZ:
```
5
Lattice="5.807 0.000 0.000 0.000 5.807 0.000 0.000 0.000 5.490" Properties=species:S:1:pos:R:3 pbc="T T T"
Ag 0.000 0.000 2.745
Na 0.000 2.904 0.000
Na 2.904 0.000 0.000
Cd 0.000 0.000 0.000
K 2.904 2.904 2.745
```

Entry 3:
## Nd2ZnSi3Ni12 (PBE)

Data for a relaxed Nd2ZnSi3Ni12 crystal.

Calculated values
Its magnetization is 0.000 μB per atom. Its uncorrected formation energy is -110.9 meV/atom. Its energy is -5.47 eV/atom. As for the space group: No. 166.

Cell and atoms, written as extended XYZ:
```
18
Lattice="-6.300 0.454 -0.166 -1.055 -6.216 0.406 -0.766 -0.065 6.272" Properties=species:S:1:pos:R:3 pbc="T T T"
Zn 0.000 0.000 0.000
Ni -4.781 -0.837 1.114
Ni -3.340 -4.990 5.398
Ni -6.225 -4.719 2.042
Ni -4.618 -3.567 0.750
Ni -6.074 -1.512 5.100
Ni -6.391 -1.990 2.402
Ni -1.730 -3.837 4.110
Ni -3.503 -2.260 5.762
Ni -1.896 -1.108 4.470
Ni -3.654 -5.471 2.700
Ni -2.047 -4.315 1.412
Ni -4.467 -0.356 3.812
Si -3.150 0.227 -0.083
Si -0.383 -0.032 3.136
Si -0.528 -3.108 0.203
Nd -5.278 -3.787 4.233
Nd -2.843 -2.040 2.280
```

Entry 4:
## Na2MgP (PBE)

Data for a relaxed Na2MgP crystal.

Calculated values
Its magnetization is 0.000 μB per atom. Its energy is -2.42 eV/atom. As for the space group: No. 225. The formation energy is -4 meV/atom. The excess energy over the best structure of this formula in the dataset is 0.00 eV per formula unit.

Cell and atoms, written as extended XYZ:
```
4
Lattice="-2.684 -1.913 3.735 -3.538 2.743 2.185 -4.804 -1.115 -0.701" Properties=species:S:1:pos:R:3 pbc="T T T"
Mg 0.000 0.000 0.000
Na -8.269 -0.213 3.914
Na -2.756 -0.071 1.305
P -5.513 -0.142 2.609
```

Entry 5:
## Pu2TiAg (PBE)

Data for a relaxed Pu2TiAg crystal.

Calculated values
Its magnetization is 2.594 μB per atom. Its energy is -9.71 eV/atom. As for the space group: No. 123. The formation energy is 140 meV/atom. The excess energy over the best structure of this formula in the dataset is 0.00 eV per formula unit.

Cell and atoms, written as extended XYZ:
```
4
Lattice="3.020 0.000 0.000 0.000 3.020 0.000 0.000 0.000 9.515" Properties=species:S:1:pos:R:3 pbc="T T T"
Pu 0.000 0.000 2.283
Pu 0.000 0.000 7.232
Ti 1.510 1.510 0.000
Ag 1.510 1.510 4.757
```

Entry 6:
## ZnIrCl2 (PBE)

Data for a relaxed ZnIrCl2 crystal.

Calculated values
Its magnetization is 0.353 μB per atom. Its uncorrected formation energy is 751.1 meV/atom. Its energy is -2.71 eV/atom. As for the space group: No. 47. The excess energy over the best structure of this formula in the dataset is 3.84 eV per formula unit.

Cell and atoms, written as extended XYZ:
```
4
Lattice="2.992 0.000 0.000 0.000 3.680 0.000 0.000 0.000 6.413" Properties=species:S:1:pos:R:3 pbc="T T T"
Zn 1.496 1.840 4.810
Cl 0.000 0.000 0.059
Cl 0.000 0.000 3.148
Ir 1.496 1.840 1.603
```

Entry 7:
## CaTe2Se (PBE)

Data for a relaxed CaTe2Se crystal.

Calculated values
Its magnetization is 0.000 μB per atom. Its uncorrected formation energy is -644.7 meV/atom. Its energy is -3.59 eV/atom. As for the space group: No. 10.

Cell and atoms, written as extended XYZ:
```
4
Lattice="-1.462 -2.458 2.937 4.358 -1.031 1.306 3.203 4.048 4.983" Properties=species:S:1:pos:R:3 pbc="T T T"
Te 4.369 1.301 3.264
Te 3.769 -0.824 1.187
Se 4.939 1.034 6.186
Ca 1.159 -0.475 3.041
```

Entry 8:
## Rb2MnHI6 (PBE)

Data for a relaxed Rb2MnHI6 crystal.

Calculated values
Its magnetization is 0.400 μB per atom. Its energy is -2.91 eV/atom. As for the space group: No. 139.

Cell and atoms, written as extended XYZ:
```
10
Lattice="-5.575 4.528 3.080 -5.235 -3.114 -4.896 -6.638 -3.550 3.119" Properties=species:S:1:pos:R:3 pbc="T T T"
H -5.405 0.707 -0.908
I -2.705 0.354 -0.454
I -8.105 1.060 -1.361
I -5.320 -1.202 -2.900
I -6.082 -1.632 1.305
I -5.490 2.616 1.085
I -11.365 -0.504 -0.002
Rb -8.809 0.842 2.646
Rb -8.639 -2.979 -1.343
Mn 0.000 0.000 0.000
```

Entry 9:
## KZnAs2Se (PBE)

Data for a relaxed KZnAs2Se crystal.

Calculated values
Its magnetization is 0.000 μB per atom. Its uncorrected formation energy is 125.6 meV/atom. Its energy is -2.91 eV/atom. As for the space group: No. 123. The excess energy over the best structure of this formula in the dataset is 0.00 eV per formula unit.

Cell and atoms, written as extended XYZ:
```
5
Lattice="4.922 0.000 0.000 0.000 4.922 0.000 0.000 0.000 5.367" Properties=species:S:1:pos:R:3 pbc="T T T"
K 2.461 2.461 2.684
As 2.461 0.000 0.000
As 0.000 2.461 0.000
Se 0.000 0.000 2.684
Zn 0.000 0.000 0.000
```

Entry 10:
## BaIn6Pt2 (PBE)

Data for a relaxed BaIn6Pt2 crystal.

Calculated values
Its magnetization is 0.000 μB per atom. Its energy is -3.55 eV/atom. As for the space group: No. 227. The formation energy is -166 meV/atom.

Cell and atoms, written as extended XYZ:
```
18
Lattice="-3.247 -8.125 -3.370 -0.316 -7.573 5.519 -8.263 -3.324 2.931" Properties=species:S:1:pos:R:3 pbc="T T T"
Pt -1.478 -2.378 0.635
Pt -1.636 -6.164 3.394
Pt -5.610 -4.040 2.101
Pt -3.102 -6.440 -1.050
In -2.836 -8.446 4.178
In -8.990 -10.576 0.902
In -4.621 -12.913 2.325
In -5.476 -5.628 -0.071
In -0.437 -3.883 2.611
In -4.014 -1.970 1.446
In -1.756 -4.131 -1.391
In -7.379 -10.273 5.789
In -4.447 -8.749 -0.710
In -7.205 -6.109 2.755
In -1.899 -7.541 1.094
In -4.157 -5.379 3.931
Ba -5.913 -9.511 2.540
Ba -8.870 -14.266 3.810
```

Entry 11:
## CsZnPb2 (PBE)

Data for a relaxed CsZnPb2 crystal.

Calculated values
Its magnetization is 0.000 μB per atom. Its energy is -2.42 eV/atom. As for the space group: No. 166. The formation energy is -37 meV/atom.

Cell and atoms, written as extended XYZ:
```
4
Lattice="4.792 0.000 0.000 2.396 4.150 0.000 2.396 1.383 7.669" Properties=species:S:1:pos:R:3 pbc="T T T"
Cs 4.792 2.766 3.835
Pb 2.396 1.383 1.005
Pb 7.187 4.150 6.664
Zn 0.000 0.000 0.000
```

Entry 12:
## Cr2IrSe (PBE)

Data for a relaxed Cr2IrSe crystal.

Calculated values
Its magnetization is 1.212 μB per atom. Its uncorrected formation energy is 202.2 meV/atom. Its energy is -7.70 eV/atom. As for the space group: No. 65.

Cell and atoms, written as extended XYZ:
```
4
Lattice="4.514 0.262 -0.180 -1.513 4.261 -0.180 0.107 0.161 2.926" Properties=species:S:1:pos:R:3 pbc="T T T"
Se -0.703 2.211 1.373
Cr 0.000 0.000 0.000
Cr 1.500 2.261 -0.180
Ir 2.310 0.212 1.373
```

Entry 13:
## La5PrSmCd2 (PBE)

Data for a relaxed La5PrSmCd2 crystal.

Calculated values
Its magnetization is 0.000 μB per atom. Its energy is -3.97 eV/atom. As for the space group: No. 140. The formation energy is 23 meV/atom.

Cell and atoms, written as extended XYZ:
```
18
Lattice="9.008 0.000 0.000 0.000 9.008 0.000 -4.504 -4.504 7.495" Properties=species:S:1:pos:R:3 pbc="T T T"
La 1.826 6.330 1.947
La -2.678 1.826 5.548
La 6.330 7.182 1.947
La 1.826 2.678 5.548
La 2.678 1.826 1.947
La 0.000 0.000 0.000
La 7.182 2.678 1.947
La 2.678 -1.826 5.548
La -1.826 -2.678 5.548
La 4.504 4.504 0.000
Cd 8.053 5.459 0.000
Cd 3.549 8.053 0.000
Cd 5.459 0.955 0.000
Cd 0.955 3.549 0.000
Sm 0.000 4.504 3.748
Sm 4.504 0.000 3.748
Pr 4.504 4.504 3.748
Pr 0.000 0.000 3.748
```

Entry 14:
## AlNiRu (PBE)

Data for a relaxed AlNiRu crystal.

Calculated values
Its magnetization is 0.000 μB per atom. Its energy is -6.48 eV/atom. As for the space group: No. 156. The formation energy is -215 meV/atom.

Cell and atoms, written as extended XYZ:
```
3
Lattice="4.131 0.000 0.000 -2.066 3.578 0.000 0.000 0.000 2.634" Properties=species:S:1:pos:R:3 pbc="T T T"
Ni 2.066 1.193 0.453
Ru 0.000 2.385 1.758
Al 0.000 0.000 0.423
```

Entry 15:
## GaAgPb (PBE)

Data for a relaxed GaAgPb crystal.

Calculated values
Its magnetization is 0.000 μB per atom. Its energy is -3.14 eV/atom. As for the space group: No. 2. The formation energy is 56 meV/atom.

Cell and atoms, written as extended XYZ:
```
6
Lattice="-0.782 2.771 1.890 -1.100 -1.433 4.650 8.736 2.515 -0.228" Properties=species:S:1:pos:R:3 pbc="T T T"
Pb 2.614 2.650 1.907
Pb 4.239 1.203 4.405
Ag -0.533 -0.076 4.487
Ag 7.386 3.929 1.825
Ga 1.040 -0.155 2.159
Ga 5.813 4.008 4.153
```

Entry 16:
## Nb6IrN (PBE)

Data for a relaxed Nb6IrN crystal.

Calculated values
Its magnetization is 0.000 μB per atom. Its uncorrected formation energy is -394.9 meV/atom. Its energy is -10.10 eV/atom. As for the space group: No. 2.

Cell and atoms, written as extended XYZ:
```
8
Lattice="-4.501 -0.510 -1.581 -3.487 -0.664 4.158 -0.762 5.255 1.023" Properties=species:S:1:pos:R:3 pbc="T T T"
Nb -6.636 0.200 1.457
Nb -7.339 2.396 3.300
Nb -2.114 3.881 2.143
Nb -5.163 4.028 3.429
Nb -3.586 0.052 0.171
Nb -1.410 1.684 0.300
N 0.000 0.000 0.000
Ir -4.375 2.040 1.800
```

Entry 17:
## CaCoH (PBE)

Data for a relaxed CaCoH crystal.

Calculated values
Its magnetization is 0.064 μB per atom. Its energy is -4.25 eV/atom. As for the space group: No. 12.

Cell and atoms, written as extended XYZ:
```
6
Lattice="-0.414 3.763 -1.248 0.147 -1.846 -5.133 -4.118 -1.060 -1.825" Properties=species:S:1:pos:R:3 pbc="T T T"
Ca -2.658 -1.062 -5.121
Ca -1.727 1.920 -3.085
H -0.453 -1.031 -4.247
H -3.931 1.888 -3.959
Co -0.347 1.074 -5.712
Co -4.038 -0.217 -2.494
```

Entry 18:
## CoNiRh2 (PBE)

Data for a relaxed CoNiRh2 crystal.

Calculated values
Its magnetization is 0.915 μB per atom. Its energy is -6.84 eV/atom. As for the space group: No. 12. The formation energy is 58 meV/atom. The excess energy over the best structure of this formula in the dataset is 0.01 eV per formula unit.

Cell and atoms, written as extended XYZ:
```
4
Lattice="4.502 -0.006 0.003 3.726 2.528 0.003 0.771 0.236 4.530" Properties=species:S:1:pos:R:3 pbc="T T T"
Ni 6.749 2.069 3.402
Rh 4.509 1.382 2.267
Rh 8.218 2.519 0.007
Co 2.250 0.690 1.134
```

Entry 19:
## TbZrGa2 (PBE)

Data for a relaxed TbZrGa2 crystal.

Calculated values
Its magnetization is 0.000 μB per atom. Its energy is -5.32 eV/atom. As for the space group: No. 62. The formation energy is -511 meV/atom. The excess energy over the best structure of this formula in the dataset is 0.00 eV per formula unit.

Cell and atoms, written as extended XYZ:
```
16
Lattice="4.260 0.000 0.000 0.000 7.634 0.000 0.000 0.000 10.568" Properties=species:S:1:pos:R:3 pbc="T T T"
Ga 3.195 3.204 6.821
Ga 1.065 0.613 1.537
Ga 3.195 5.420 4.996
Ga 1.065 6.031 10.280
Ga 1.065 4.430 3.747
Ga 3.195 1.603 0.288
Ga 3.195 7.021 9.031
Ga 1.065 2.214 5.572
Zr 3.195 0.397 6.305
Zr 1.065 3.420 1.021
Zr 3.195 4.214 9.547
Zr 1.065 7.237 4.263
Tb 3.195 2.222 3.421
Tb 3.195 6.039 1.863
Tb 1.065 5.413 7.147
Tb 1.065 1.595 8.705
```

Entry 20:
## Zn2CdNiP (PBE)

Data for a relaxed Zn2CdNiP crystal.

Calculated values
Its magnetization is 0.000 μB per atom. Its energy is -2.39 eV/atom. As for the space group: No. 123. The formation energy is 539 meV/atom.

Cell and atoms, written as extended XYZ:
```
5
Lattice="4.517 0.000 0.000 0.000 4.882 0.000 0.000 0.000 4.517" Properties=species:S:1:pos:R:3 pbc="T T T"
Zn 0.000 0.000 2.258
Zn 2.258 0.000 0.000
Ni 0.000 0.000 0.000
P 2.258 2.441 2.258
Cd 0.000 2.441 0.000
```

Entry 21:
## CeUGe (PBE)

Data for a relaxed CeUGe crystal.

Calculated values
Its magnetization is 1.112 μB per atom. Its energy is -7.32 eV/atom. As for the space group: No. 156. The formation energy is -43 meV/atom.

Cell and atoms, written as extended XYZ:
```
3
Lattice="-2.068 -1.878 1.676 1.504 -3.852 -2.462 2.193 1.243 4.100" Properties=species:S:1:pos:R:3 pbc="T T T"
U -2.016 -1.831 1.633
Ce 0.289 -3.466 0.896
Ge 1.288 -1.069 2.460
```

Entry 22:
## Na5B7C3 (PBE)

Data for a relaxed Na5B7C3 crystal.

Calculated values
Its magnetization is 0.000 μB per atom. Its energy is -5.24 eV/atom. As for the space group: No. 156. The formation energy is 156 meV/atom. The excess energy over the best structure of this formula in the dataset is 0.64 eV per formula unit.

Cell and atoms, written as extended XYZ:
```
30
Lattice="2.893 0.000 0.000 -1.446 2.505 0.000 0.000 0.000 42.758" Properties=species:S:1:pos:R:3 pbc="T T T"
Na 0.000 0.000 12.823
Na 0.000 0.000 38.396
Na 0.000 0.000 25.764
Na 0.000 0.000 34.193
Na 0.000 0.000 17.170
Na 0.000 0.000 8.581
Na 0.000 0.000 29.989
Na 0.000 0.000 42.615
Na 0.000 0.000 21.419
Na 0.000 0.000 4.217
C 0.000 1.670 19.294
C 0.000 1.670 10.697
C 1.446 0.835 40.494
C 0.000 1.670 36.294
C 0.000 1.670 27.893
C 1.446 0.835 32.094
B 1.446 0.835 27.890
B 1.446 0.835 36.294
B 1.446 0.835 2.030
B 0.000 1.670 32.093
B 1.446 0.835 23.593
B 0.000 1.670 23.593
B 0.000 1.670 6.405
B 1.446 0.835 19.294
B 1.446 0.835 6.405
B 1.446 0.835 14.996
B 0.000 1.670 14.996
B 1.446 0.835 10.698
B 0.000 1.670 2.029
B 0.000 1.670 40.496
```

Entry 23:
## SmPuSe3 (PBE)

Data for a relaxed SmPuSe3 crystal.

Calculated values
Its magnetization is 1.000 μB per atom. Its uncorrected formation energy is -1595.3 meV/atom. Its energy is -7.50 eV/atom. As for the space group: No. 186. The excess energy over the best structure of this formula in the dataset is 0.42 eV per formula unit.

Cell and atoms, written as extended XYZ:
```
10
Lattice="4.230 0.000 0.000 -2.115 3.663 0.000 0.000 0.000 20.082" Properties=species:S:1:pos:R:3 pbc="T T T"
Pu 0.000 0.000 19.407
Pu 0.000 0.000 9.367
Se 0.000 2.442 7.588
Se 2.115 1.221 17.629
Se 0.000 0.000 14.314
Se 0.000 0.000 4.273
Se 0.000 2.442 0.710
Se 2.115 1.221 10.751
Sm 2.115 1.221 5.675
Sm 0.000 2.442 15.716
```

Entry 24:
## Pm2SmGa2Pt7 (PBE)

Data for a relaxed Pm2SmGa2Pt7 crystal.

Calculated values
Its magnetization is 0.000 μB per atom. Its energy is -6.17 eV/atom. As for the space group: No. 12. The formation energy is -956 meV/atom.

Cell and atoms, written as extended XYZ:
```
12
Lattice="4.111 0.019 -0.069 0.024 4.111 -0.069 1.789 1.787 13.992" Properties=species:S:1:pos:R:3 pbc="T T T"
Ga 2.129 2.126 3.537
Ga 3.796 3.791 10.317
Pt 3.808 1.761 11.771
Pt 3.643 3.639 7.870
Pt 1.765 3.805 11.771
Pt 2.117 4.156 2.083
Pt 4.159 2.112 2.083
Pt 2.281 2.278 5.984
Pt 2.067 2.065 -0.069
Sm 0.000 0.000 0.000
Pm 1.642 1.640 8.976
Pm 4.282 4.277 4.878
```